(1)
# RhSe2ClF (PBE-GGA, optimized geometry)
data_RhSe2ClF
_symmetry_space_group_name_H-M 'P 4/m m m'
_symmetry_Int_Tables_number 123
_symmetry_space_group_name_Hall '-P 4 2'
_cell_length_a 4.288
_cell_length_b 4.288
_cell_length_c 5.316
_cell_angle_alpha 90.00
_cell_angle_beta 90.00
_cell_angle_gamma 90.00
loop_
_atom_site_label
_atom_site_type_symbol
_atom_site_fract_x
_atom_site_fract_y
_atom_site_fract_z
Rh1 Rh 0.000 0.000 0.000
Se1 Se 0.000 0.500 0.500
Cl1 Cl 0.500 0.500 0.000
F1 F 0.500 0.500 0.500
# - Formation energy (no corrections): 0.68 eV per atom
# - Total energy: -2.9318 eV/atom
# - Total magnetization: 0.00 μB per cell

***

(2)
# Mn4Co5 (PBE-GGA, optimized geometry)
data_Mn4Co5
_symmetry_space_group_name_H-M 'I 4/m m m'
_symmetry_Int_Tables_number 139
_symmetry_space_group_name_Hall '-I 4 2'
_cell_length_a 7.394
_cell_length_b 7.394
_cell_length_c 3.461
_cell_angle_alpha 90.00
_cell_angle_beta 90.00
_cell_angle_gamma 90.00
loop_
_atom_site_label
_atom_site_type_symbol
_atom_site_fract_x
_atom_site_fract_y
_atom_site_fract_z
Mn1 Mn 0.000 0.335 0.000
Co1 Co 0.000 0.000 0.000
Co2 Co 0.168 0.168 0.500
# - Distance to the lowest polymorph of the same formula: 0.000 eV/atom
# - ΔH_f (0 K): 0.86 eV/f.u.
# - Total energy: -7.9279 eV/atom
# - Total magnetization: 0.42 μB per cell